one:
## AcY2Au (PBE-GGA)

Data for a geometry-optimized AcY2Au structure.

Values from the calculation:
As for the density of states at the Fermi level: 4.9 states/eV per cell. As for the total magnetization: 0.000 μB/cell.

```
AcY2Au
1.0
3.698 0.000 0.000
0.000 3.698 0.000
0.000 0.000 8.923
Ac Y Au
1 2 1
Cartesian
0.000 0.000 0.000
1.849 1.849 2.755
1.849 1.849 6.168
0.000 0.000 4.462
```

two:
## AcY2Au (PBE-GGA)

Data for a geometry-optimized AcY2Au structure.

Values from the calculation:
As for the density of states at the Fermi level: 4.6 states/eV per cell. As for the total magnetization: 0.000 μB/cell.

```
AcY2Au
1.0
1.956 1.129 10.048
-1.956 1.129 10.048
0.000 -2.259 10.048
Ac Y Au
1 2 1
Cartesian
0.000 0.000 0.000
0.000 0.000 6.914
0.000 0.000 23.230
0.000 0.000 15.072
```

three:
## AcY2Au (PBE-GGA)

Data for a geometry-optimized AcY2Au structure.

Values from the calculation:
As for the density of states at the Fermi level: 6.2 states/eV per cell. As for the total magnetization: 0.805 μB/cell.

```
AcY2Au
1.0
5.511 0.000 0.000
0.000 5.511 0.000
0.000 0.000 3.847
Ac Y Au
1 2 1
Cartesian
0.000 0.000 0.000
0.000 2.755 1.923
2.755 0.000 1.923
2.755 2.755 0.000
```

Order from most stable to least stable according to the calculation: one, two, three

one:
## AcZn2Au (PBE-GGA)

Data for a geometry-optimized AcZn2Au structure.

Values from the calculation:
As for the density of states at the Fermi level: 10.6 states/eV per cell. As for the total magnetization: 0.000 μB/cell.

```
AcZn2Au
1.0
-2.339 4.760 8.411
2.339 -4.760 8.411
2.339 4.760 -8.411
Ac Zn Au
4 8 4
Cartesian
0.000 0.000 3.500
0.000 2.465 0.000
0.000 7.056 0.000
0.000 0.000 13.323
2.339 0.000 1.209
2.339 -1.303 5.286
0.000 0.000 7.022
2.339 1.303 5.286
0.000 3.457 3.126
0.000 0.000 9.801
0.000 6.064 3.126
0.000 4.760 7.203
2.339 2.287 -2.515
2.339 2.287 2.515
0.000 2.473 5.897
0.000 2.473 10.926
```

two:
## AcZn2Au (PBE-GGA)

Data for a geometry-optimized AcZn2Au structure.

Values from the calculation:
As for the density of states at the Fermi level: 5.5 states/eV per cell. As for the total magnetization: 0.000 μB/cell.

```
AcZn2Au
1.0
2.193 -9.695 0.000
2.193 9.695 0.000
0.000 0.000 4.448
Ac Zn Au
2 4 2
Cartesian
2.193 7.592 3.336
2.193 -7.592 1.112
2.193 4.839 1.112
2.193 0.607 3.336
2.193 -0.607 1.112
2.193 -4.839 3.336
2.193 3.281 3.336
2.193 -3.281 1.112
```

three:
## AcZn2Au (PBE-GGA)

Data for a geometry-optimized AcZn2Au structure.

Values from the calculation:
As for the density of states at the Fermi level: 2.3 states/eV per cell. As for the total magnetization: 0.000 μB/cell.

```
AcZn2Au
1.0
4.464 0.000 0.000
0.000 4.464 0.000
0.000 0.000 4.983
Ac Zn Au
1 2 1
Cartesian
0.000 0.000 0.000
0.000 2.232 2.492
2.232 0.000 2.492
2.232 2.232 0.000
```

Order from most stable to least stable according to the calculation: two, one, three